{
  "formula": "Y2NiO",
  "functional": "PBE+U",
  "state": "relaxed",
  "space_group": "I-42d (122)",
  "e_tot_ev_per_atom": -6.21,
  "lattice": [[6.2456, 0.0000, 0.0000], [0.0000, 6.2456, 0.0000], [3.1228, 3.1228, 4.1880]],
  "species": ["Y", "Y", "Y", "Y", "Ni", "Ni", "O", "O"],
  "frac_coords": [[0.5726, 0.1250, 0.2500], [0.1774, 0.6250, 0.2500], [0.3750, 0.4274, 0.7500], [0.8750, 0.8226, 0.7500], [0.0000, 0.0000, 0.0000], [0.7500, 0.2500, 0.5000], [0.5000, 0.5000, 0.0000], [0.2500, 0.7500, 0.5000]]
}